Entry 1:
VASP calculation (PBE) on crystalline PrGa3Hg3 at its relaxed geometry.

Output
Energy relative to the elements, eV/atom: 0.166
Magnetic moment, μB/f.u.: 0.000

a = 7.352 Å, b = 7.352 Å, c = 7.352 Å
α = 90.00°, β = 90.00°, γ = 90.00°
Fractional coordinates of all 14 atoms:
Hg 0.000 0.500 0.750
Ga 0.500 0.000 0.250
Ga 0.000 0.250 0.500
Ga 0.250 0.500 0.000
Hg 0.250 0.000 0.500
Hg 0.750 0.000 0.500
Hg 0.500 0.250 0.000
Pr 0.000 0.000 0.000
Ga 0.000 0.750 0.500
Ga 0.750 0.500 0.000
Hg 0.000 0.500 0.250
Pr 0.500 0.500 0.500
Hg 0.500 0.750 0.000
Ga 0.500 0.000 0.750


Entry 2:
VASP calculation (PBE) on crystalline Pr5Ga2Pb2 at its relaxed geometry.

Output
Energy relative to the elements, eV/atom: -0.519
Magnetic moment, μB/f.u.: 0.000

a = 8.214 Å, b = 8.333 Å, c = 9.161 Å
α = 117.05°, β = 90.00°, γ = 90.00°
Fractional coordinates of all 18 atoms:
Pr 0.500 0.500 0.000
Pr 0.674 0.047 0.734
Pr 0.326 0.687 0.734
Pr 0.000 0.000 0.000
Pr 0.826 0.813 0.266
Pb 0.000 0.212 0.424
Pr 0.174 0.453 0.266
Pb 0.000 0.788 0.576
Ga 0.616 0.885 0.000
Pb 0.500 0.288 0.576
Ga 0.116 0.615 0.000
Pr 0.826 0.547 0.734
Ga 0.384 0.115 0.000
Pb 0.500 0.712 0.424
Ga 0.884 0.385 0.000
Pr 0.174 0.187 0.734
Pr 0.674 0.313 0.266
Pr 0.326 0.953 0.266


Entry 3:
VASP calculation (PBE) on crystalline VIBr2 at its relaxed geometry.

Output
Raw formation energy, eV/atom: -0.51
Magnetic moment, μB/f.u.: 2.829
E above lowest polymorph, meV per atom: 113

a = 10.766 Å, b = 10.766 Å, c = 10.766 Å
α = 19.81°, β = 19.81°, γ = 19.81°
Each line ends with the local moment (μB).
Fractional coordinates of all 4 atoms:
Br 0.286 0.286 0.286  -0.03
V 0.000 0.000 0.000  2.53
Br 0.714 0.714 0.714  -0.03
I 0.500 0.500 0.500  -0.01


Entry 4:
VASP calculation (PBE) on crystalline NaAsH2O4 at its relaxed geometry.

Output
VASP energy, eV/atom: -5.262
Magnetic moment, μB/f.u.: 0.000

a = 4.241 Å, b = 4.947 Å, c = 4.947 Å
α = 77.32°, β = 64.62°, γ = 64.62°
Fractional coordinates of all 8 atoms:
O 0.934 0.457 0.209
Na 0.000 0.000 0.000
H 0.836 0.664 0.664
As 0.500 0.500 0.500
O 0.600 0.543 0.791
O 0.400 0.209 0.457
H 0.164 0.336 0.336
O 0.066 0.791 0.543


- Number 2 is which compound?
  Pr5Ga2Pb2